Entry 1:
A geometry-optimized CrAgCl2 structure. Source: the Alexandria database, functional PBE-GGA.

Cell: 8.0999 8.0999 8.0999 Å, 25.23 25.23 25.23°
Site moments in Bohr magnetons follow the coordinates.
Fractional coordinates of all 4 atoms:
Cl 0.0217 0.0217 0.0217  -0.04
Cl 0.2205 0.2205 0.2205  -0.06
Cr 0.5001 0.5001 0.5001  2.96
Ag 0.7577 0.7577 0.7577  -0.05

Calculated values
V, A^3/atom: 21.2
Electronic total energy, eV for the cell shown: -17.28

=====

Entry 2:
A geometry-optimized TiPdSe2N structure. Source: the Alexandria database, functional PBE-GGA.

Cell: 5.0663 5.0663 3.6856 Å, 90.00 90.00 90.00°
Fractional coordinates of all 5 atoms:
Se 0.0000 0.5000 0.0000
Se 0.5000 0.0000 0.0000
Pd 0.5000 0.5000 0.5000
Ti 0.0000 0.0000 0.0000
N 0.0000 0.0000 0.5000

Calculated values
V, A^3/atom: 18.9
Electronic total energy, eV for the cell shown: -27.85

=====

Entry 3:
A geometry-optimized Sr12Bi4PN3 structure. Source: the Alexandria database, functional PBE-GGA.

Cell: 9.3306 9.3306 9.3306 Å, 109.47 109.47 109.47°
Fractional coordinates of all 20 atoms:
Sr 0.0000 0.2650 0.2650
Sr 0.7350 0.0000 0.7350
Sr 0.2500 0.7500 0.5000
Sr 0.2650 0.2650 0.0000
Sr 0.7350 0.7350 0.0000
Sr 0.5000 0.7500 0.2500
Sr 0.0000 0.7350 0.7350
Sr 0.7500 0.5000 0.2500
Sr 0.2500 0.5000 0.7500
Sr 0.5000 0.2500 0.7500
Sr 0.7500 0.2500 0.5000
Sr 0.2650 0.0000 0.2650
N 0.0000 0.5000 0.5000
N 0.5000 0.0000 0.5000
N 0.5000 0.5000 0.0000
P 0.0000 0.0000 0.0000
Bi 0.5000 0.5000 0.5000
Bi 0.0000 0.0000 0.5000
Bi 0.5000 0.0000 0.0000
Bi 0.0000 0.5000 0.0000

Calculated values
V, A^3/atom: 31.3
Electronic total energy, eV for the cell shown: -83.61

=====

Entry 4:
A geometry-optimized SrHf2Ni2 structure. Source: the Alexandria database, functional PBE-GGA.

Cell: 7.9632 7.9632 3.0825 Å, 90.00 90.00 90.00°
Fractional coordinates of all 10 atoms:
Ni 0.6363 0.8637 0.5000
Ni 0.3637 0.1363 0.5000
Ni 0.1363 0.6363 0.5000
Ni 0.8637 0.3637 0.5000
Hf 0.8603 0.6397 0.0000
Hf 0.1397 0.3603 0.0000
Hf 0.3603 0.8603 0.0000
Hf 0.6397 0.1397 0.0000
Sr 0.5000 0.5000 0.0000
Sr 0.0000 0.0000 0.0000

Calculated values
DFT formation energy, meV/atom: 36
V, A^3/atom: 19.5